Record 1
First-principles (PBE) data for TaNiSn2 after structural relaxation, as listed in the Alexandria database.

## Properties
Its formation energy is 386 meV/atom. The value obtained for the calculated total energy is -6.02 eV/atom. As for the density of states at the Fermi level: 7.44 states/eV per cell. The density comes out at 10.079 g/cm³.

Unit cell a=7.3053 b=7.3053 c=5.9465 alpha=52.10 beta=52.10 gamma=90.00
Sites, in units of the cell vectors:
Ta (0.7500, 0.2500, 0.5000)
Ta (0.0000, 0.0000, 0.0000)
Ni (0.5000, 0.5000, 0.0000)
Ni (0.2500, 0.7500, 0.5000)
Sn (0.3750, 0.4176, 0.7500)
Sn (0.5824, 0.1250, 0.2500)
Sn (0.8750, 0.8324, 0.7500)
Sn (0.1676, 0.6250, 0.2500)



Record 2
First-principles (PBE) data for TaNi6Sn after structural relaxation, as listed in the Alexandria database.

## Properties
Its formation energy is -263 meV/atom. The value obtained for the calculated total energy is -6.58 eV/atom. As for the density of states at the Fermi level: 14.39 states/eV per cell. The density comes out at 10.645 g/cm³.

Unit cell a=6.4128 b=6.4128 c=10.4870 alpha=90.00 beta=90.00 gamma=109.43
Sites, in units of the cell vectors:
Ta (0.5000, 0.5000, 0.2512)
Ta (0.5000, 0.5000, 0.7488)
Ta (0.7467, 0.2533, 0.0000)
Ta (0.2533, 0.7467, 0.0000)
Ni (0.2534, 0.7466, 0.7562)
Ni (0.7466, 0.2534, 0.2438)
Ni (0.0000, 0.0000, 0.0000)
Ni (0.1325, 0.3788, 0.6293)
Ni (0.3788, 0.1325, 0.3707)
Ni (0.1274, 0.3800, 0.8786)
Ni (0.2534, 0.7466, 0.2438)
Ni (0.8726, 0.6200, 0.8786)
Ni (0.0000, 0.0000, 0.5000)
Ni (0.5000, 0.5000, 0.0000)
Ni (0.6200, 0.8726, 0.1214)
Ni (0.3788, 0.1325, 0.6293)
Ni (0.8726, 0.6200, 0.1214)
Ni (0.7466, 0.2534, 0.7562)
Ni (0.1274, 0.3800, 0.1214)
Ni (0.6200, 0.8726, 0.8786)
Ni (0.8675, 0.6212, 0.3707)
Ni (0.1325, 0.3788, 0.3707)
Ni (0.6212, 0.8675, 0.6293)
Ni (0.3800, 0.1274, 0.1214)
Ni (0.6212, 0.8675, 0.3707)
Ni (0.5000, 0.5000, 0.5000)
Ni (0.3800, 0.1274, 0.8786)
Ni (0.8675, 0.6212, 0.6293)
Sn (0.0000, 0.0000, 0.7499)
Sn (0.0000, 0.0000, 0.2501)
Sn (0.2495, 0.7505, 0.5000)
Sn (0.7505, 0.2495, 0.5000)



Record 3
First-principles (PBE) data for TaNi9Sn2 after structural relaxation, as listed in the Alexandria database.

## Properties
Its formation energy is -251 meV/atom. The value obtained for the calculated total energy is -6.24 eV/atom. As for the density of states at the Fermi level: 4.32 states/eV per cell. The density comes out at 10.235 g/cm³.

Unit cell a=3.7155 b=3.7155 c=11.1247 alpha=90.00 beta=90.00 gamma=90.00
Sites, in units of the cell vectors:
Ni (0.0000, 0.5000, 0.5000)
Ni (0.5000, 0.5000, 0.6701)
Ni (0.5000, 0.5000, 0.3299)
Ni (0.0000, 0.5000, 0.8404)
Ni (0.5000, 0.0000, 0.5000)
Ni (0.5000, 0.5000, 0.0000)
Ni (0.0000, 0.5000, 0.1596)
Ni (0.5000, 0.0000, 0.1596)
Ni (0.5000, 0.0000, 0.8404)
Ta (0.0000, 0.0000, 0.0000)
Sn (0.0000, 0.0000, 0.6667)
Sn (0.0000, 0.0000, 0.3333)